A geometry-optimized SiNi3Bi structure, computed with PBE-GGA.

Results
V, Å³/cell: 107.1
Energy above the most stable polymorph in this dataset, eV per atom: 1.158
Formation energy (no corrections), meV per atom: 1280

Unit cell a=4.7485 b=4.7485 c=4.7485 alpha=90.00 beta=90.00 gamma=90.00
Last column: nearest neighbours and their distance in Å.
Fractional positions:
Si1 0.0000 0.0000 0.0000  12 Ni 3.36
Ni1 0.0000 0.5000 0.5000  2 Bi 2.37
Ni2 0.5000 0.0000 0.5000  2 Bi 2.37
Ni3 0.5000 0.5000 0.0000  2 Bi 2.37
Bi1 0.5000 0.5000 0.5000  6 Ni 2.37